! Fe2BiBr2O2 GGA+U optimized geometry; values from VASP
! DFT total energy (eV/atom): -5.018
! Space group: P-1, No. 2
&SYSTEM
  ibrav = 0, nat = 7, ntyp = 4
/
ATOMIC_SPECIES
Fe 55.84 Fe.upf
O 16.00 O.upf
Br 79.90 Br.upf
Bi 208.98 Bi.upf
ATOMIC_POSITIONS angstrom
Fe 1.8791 5.9861 5.6258
Fe 3.6780 3.9642 4.1566
O 3.7016 5.2678 5.9969
O 1.8555 4.6825 3.7856
Br 3.6381 1.9355 2.1238
Br 1.9190 8.0147 7.6586
Bi 0.0000 0.0000 0.0000
CELL_PARAMETERS angstrom
3.6273 0.0103 -0.0601
1.8161 6.1732 1.9306
0.1137 3.7668 7.9119



! FeBi2BrO GGA+U optimized geometry; values from VASP
! DFT total energy (eV/atom): -3.231
! Space group: P4/mmm, No. 123
&SYSTEM
  ibrav = 0, nat = 5, ntyp = 4
/
ATOMIC_SPECIES
Bi 208.98 Bi.upf
O 16.00 O.upf
Br 79.90 Br.upf
Fe 55.84 Fe.upf
ATOMIC_POSITIONS angstrom
Bi 0.0000 2.9596 0.0000
Bi 2.9596 0.0000 0.0000
O 0.0000 0.0000 1.8657
Br 0.0000 0.0000 0.0000
Fe 2.9596 2.9596 1.8657
CELL_PARAMETERS angstrom
5.9193 0.0000 0.0000
0.0000 5.9193 0.0000
0.0000 0.0000 3.7314